Here is Li4ZnPd7 after structural relaxation from the Alexandria database. Energies are from GGA-PBE.

Cell lengths 9.719, 4.731, 9.598 Å; angles 90.00, 118.87, 90.00 degrees
Space group C2/m (No. 12)
Symmetry-distinct sites (fractional):
1 Li 0.101 0.000 0.271 [4 per cell]
2 Li 0.216 0.000 0.806 [4 per cell]
3 Zn 0.000 0.500 0.500 [2 per cell]
4 Pd 0.000 0.000 0.500 [2 per cell]
5 Pd 0.032 0.500 0.878 [4 per cell]
6 Pd 0.155 0.000 0.034 [4 per cell]
7 Pd 0.199 0.500 0.418 [4 per cell]

Computed properties:
Mass density: 7.202 g/cm3
Volume: 386.5 Å³ per cell
Energy relative to the elements: -0.17 eV per atom